Entry from the Alexandria database: an optimized crystal structure of Co3PtW (GGA-PBE).

Results
As for the total energy: -6.523 eV per atom. The energy relative to the elements is 1.539 eV/atom. The value obtained for the excess energy over the best structure of this formula in the dataset is 1458.1 meV per atom.

a = 4.372 Å, b = 4.372 Å, c = 4.372 Å
α = 90.00°, β = 90.00°, γ = 90.00°
Fractional positions:
Co (0.000, 0.500, 0.000)
Co (0.000, 0.000, 0.500)
Co (0.500, 0.000, 0.000)
W (0.000, 0.000, 0.000)
Pt (0.500, 0.500, 0.500)